Below is a relaxed Tb3Pm6YEr2 crystal, with properties calculated at the PBE-GGA level.

Cell and atoms, written as POSCAR:
```
Tb3Pm6YEr2
1.0
3.123 -5.408 0.000
3.123 5.408 0.000
-2.075 0.000 11.665
Tb Pm Y Er
3 6 1 2
direct
0.000 0.000 0.000
0.333 0.667 0.000
0.667 0.333 0.000
0.082 0.416 0.251
0.249 0.249 0.749
0.416 0.082 0.251
0.584 0.918 0.749
0.751 0.751 0.251
0.918 0.584 0.749
0.500 0.500 0.500
0.167 0.833 0.500
0.833 0.167 0.500
```

Computed properties:
E: -57.8 eV/f.u.
DFT formation energy: 0.01 eV per atom
total magnetic moment: 0.000 μB per cell
density of states at the Fermi level: 14.1 states/eV/f.u.

Below is a relaxed BaLaEu2 crystal, with properties calculated at the PBE-GGA level.

Cell and atoms, written as POSCAR:
```
BaLaEu2
1.0
1.985 1.146 13.095
-1.985 1.146 13.095
0.000 -2.292 13.095
Ba La Eu
1 1 2
direct
0.000 0.000 0.000
0.500 0.500 0.500
0.245 0.245 0.245
0.755 0.755 0.755
```

Computed properties:
polymorph energy (0 for the lowest one): 0.0 kJ per mole of atoms
E: -27.1 eV/f.u.
DFT formation energy: 0.08 eV per atom
total magnetic moment: 15.744 μB per cell
density of states at the Fermi level: 13.7 states/eV/f.u.

Below is a relaxed Na2TlP2O7 crystal, with properties calculated at the PBE-GGA level.

Cell and atoms, written as POSCAR:
```
Na2TlP2O7
1.0
2.834 1.636 7.149
-2.834 1.636 7.149
0.000 -3.272 7.149
Na Tl P O
2 1 2 7
direct
0.242 0.242 0.242
0.758 0.758 0.758
0.000 0.000 0.000
0.425 0.425 0.425
0.575 0.575 0.575
0.157 0.383 0.679
0.321 0.617 0.843
0.383 0.679 0.157
0.500 0.500 0.500
0.617 0.843 0.321
0.679 0.157 0.383
0.843 0.321 0.617
```

Computed properties:
formation energy (no corrections): -1.886 eV per atom
E: -73.2 eV/f.u.
total magnetic moment: 0.860 μB per cell
density of states at the Fermi level: 3.8 states/eV/f.u.

Below is a relaxed LiSbAs crystal, with properties calculated at the PBE-GGA level.

Cell and atoms, written as POSCAR:
```
LiSbAs
1.0
-1.495 2.114 5.575
1.495 -2.114 5.575
1.495 2.114 -5.575
Li Sb As
1 1 1
direct
0.000 0.000 0.000
0.665 0.665 0.000
0.427 0.427 0.000
```

Computed properties:
formation energy (no corrections): -0.164 eV per atom
E: -11.2 eV/f.u.
total magnetic moment: 0.000 μB per cell
density of states at the Fermi level: 1.1 states/eV/f.u.

Below is a relaxed Sr2Zn3Cd4In crystal, with properties calculated at the PBE-GGA level.

Cell and atoms, written as POSCAR:
```
Sr2Zn3Cd4In
1.0
4.548 0.000 0.000
0.000 4.548 0.000
0.000 0.000 12.094
Sr Zn Cd In
2 3 4 1
direct
0.000 0.500 0.245
0.500 0.000 0.755
0.000 0.500 0.864
0.500 0.000 0.136
0.500 0.500 0.500
0.000 0.000 0.000
0.000 0.500 0.644
0.500 0.000 0.356
0.500 0.500 0.000
0.000 0.000 0.500
```

Computed properties:
E: -15.9 eV/f.u.
DFT formation energy: -0.24 eV per atom
total magnetic moment: 0.000 μB per cell
density of states at the Fermi level: 3.6 states/eV/f.u.

Below is a relaxed Cu7Pb crystal, with properties calculated at the PBE-GGA level.

Cell and atoms, written as POSCAR:
```
Cu7Pb
1.0
0.000 3.808 3.808
3.808 0.000 3.808
3.808 3.808 0.000
Cu Pb
7 1
direct
0.000 0.000 0.000
0.000 0.000 0.500
0.000 0.500 0.000
0.000 0.500 0.500
0.500 0.000 0.000
0.500 0.000 0.500
0.500 0.500 0.000
0.500 0.500 0.500
```

Computed properties:
E: -30.7 eV/f.u.
DFT formation energy: 0.20 eV per atom
total magnetic moment: 0.000 μB per cell
density of states at the Fermi level: 6.2 states/eV/f.u.